[1]
Entry from the Alexandria database: an optimized crystal structure of NaGa2Pt2 (GGA-PBE).

Summary:
ΔE to the lowest computed polymorph = 14 meV per atom
Fermi-level density of states = 2.75 states/eV/cell
DFT formation energy = -0.599 eV/atom
E = -4.49 eV per atom

```
data_NaGa2Pt2
_chemical_formula_sum 'Na2 Ga4 Pt4'
_space_group_name_H-M_alt 'P 4/m b m'
_space_group_IT_number 127
_space_group_name_Hall '-P 4 2ab'
_cell_length_a 7.725
_cell_length_b 7.725
_cell_length_c 2.803
_cell_angle_alpha 90.00
_cell_angle_beta 90.00
_cell_angle_gamma 90.00
loop_
_atom_site_label
_atom_site_type_symbol
_atom_site_fract_x
_atom_site_fract_y
_atom_site_fract_z
Na1 Na 0.000 0.000 0.000
Ga1 Ga 0.151 0.349 0.500
Pt1 Pt 0.147 0.647 0.000
```

=====

[2]
Entry from the Alexandria database: an optimized crystal structure of Ta3Rh (GGA-PBE).

Summary:
Fermi-level density of states = 7.70 states/eV/cell
DFT formation energy = -0.223 eV/atom
E = -10.95 eV per atom

```
data_Ta3Rh
_chemical_formula_sum 'Ta6 Rh2'
_space_group_name_H-M_alt 'I m m m'
_space_group_IT_number 71
_space_group_name_Hall '-I 2 2'
_cell_length_a 3.332
_cell_length_b 4.561
_cell_length_c 9.050
_cell_angle_alpha 90.00
_cell_angle_beta 90.00
_cell_angle_gamma 90.00
loop_
_atom_site_label
_atom_site_type_symbol
_atom_site_fract_x
_atom_site_fract_y
_atom_site_fract_z
Ta1 Ta 0.000 0.000 0.000
Ta2 Ta 0.000 0.500 0.248
Rh1 Rh 0.000 0.000 0.500
```

=====

[3]
Entry from the Alexandria database: an optimized crystal structure of Y3Er2N4 (GGA-PBE).

Summary:
formation energy (no corrections) = -1.52 eV per atom
Fermi-level density of states = 8.01 states/eV/cell
E = -8.39 eV per atom

```
data_Y3Er2N4
_chemical_formula_sum 'Y6 Er4 N8'
_space_group_name_H-M_alt 'C 1 2/m 1'
_space_group_IT_number 12
_space_group_name_Hall '-C 2y'
_cell_length_a 6.016
_cell_length_b 3.473
_cell_length_c 14.367
_cell_angle_alpha 90.00
_cell_angle_beta 90.05
_cell_angle_gamma 90.00
loop_
_atom_site_label
_atom_site_type_symbol
_atom_site_fract_x
_atom_site_fract_y
_atom_site_fract_z
Y1 Y 0.000 0.000 0.000
Y2 Y 0.166 0.500 0.616
Er1 Er 0.167 0.500 0.192
N1 N 0.001 0.000 0.297
N2 N 0.166 0.500 0.899
```

=====

[4]
Entry from the Alexandria database: an optimized crystal structure of La2Pm3Tl4 (GGA-PBE).

Summary:
ΔE to the lowest computed polymorph = 0 meV per atom
Fermi-level density of states = 22.73 states/eV/cell
DFT formation energy = -0.322 eV/atom
E = -4.05 eV per atom

```
data_La2Pm3Tl4
_chemical_formula_sum 'La4 Pm6 Tl8'
_space_group_name_H-M_alt 'C 1 2/m 1'
_space_group_IT_number 12
_space_group_name_Hall '-C 2y'
_cell_length_a 9.459
_cell_length_b 5.477
_cell_length_c 10.848
_cell_angle_alpha 90.00
_cell_angle_beta 90.23
_cell_angle_gamma 90.00
loop_
_atom_site_label
_atom_site_type_symbol
_atom_site_fract_x
_atom_site_fract_y
_atom_site_fract_z
La1 La 0.167 0.000 0.281
Pm1 Pm 0.000 0.500 0.500
Pm2 Pm 0.166 0.000 0.923
Tl1 Tl 0.000 0.500 0.148
Tl2 Tl 0.166 0.000 0.602
```

=====

[5]
Entry from the Alexandria database: an optimized crystal structure of Np3PaTe6 (GGA-PBE).

Summary:
formation energy (no corrections) = -0.59 eV per atom
Fermi-level density of states = 57.30 states/eV/cell
E = -7.31 eV per atom

```
data_Np3PaTe6
_chemical_formula_sum 'Np6 Pa2 Te12'
_space_group_name_H-M_alt 'P 1 21/c 1'
_space_group_IT_number 14
_space_group_name_Hall '-P 2ybc'
_cell_length_a 7.331
_cell_length_b 8.267
_cell_length_c 12.962
_cell_angle_alpha 90.00
_cell_angle_beta 121.16
_cell_angle_gamma 90.00
loop_
_atom_site_label
_atom_site_type_symbol
_atom_site_fract_x
_atom_site_fract_y
_atom_site_fract_z
Np1 Np 0.000 0.000 0.000
Np2 Np 0.320 0.135 0.762
Pa1 Pa 0.500 0.000 0.500
Te1 Te 0.087 0.044 0.258
Te2 Te 0.235 0.670 0.084
Te3 Te 0.424 0.171 0.074
```

=====

[6]
Entry from the Alexandria database: an optimized crystal structure of Ni3MoW (GGA-PBE).

Summary:
ΔE to the lowest computed polymorph = 0 meV per atom
Fermi-level density of states = 4.70 states/eV/cell
DFT formation energy = 1.660 eV/atom
E = -6.57 eV per atom

```
data_Ni3MoW
_chemical_formula_sum 'Ni3 Mo1 W1'
_space_group_name_H-M_alt 'P m -3 m'
_space_group_IT_number 221
_space_group_name_Hall '-P 4 2 3'
_cell_length_a 4.392
_cell_length_b 4.392
_cell_length_c 4.392
_cell_angle_alpha 90.00
_cell_angle_beta 90.00
_cell_angle_gamma 90.00
loop_
_atom_site_label
_atom_site_type_symbol
_atom_site_fract_x
_atom_site_fract_y
_atom_site_fract_z
Ni1 Ni 0.000 0.000 0.500
Mo1 Mo 0.500 0.500 0.500
W1 W 0.000 0.000 0.000
```

=====

[7]
Entry from the Alexandria database: an optimized crystal structure of Rb2PbCl7 (GGA-PBE).

Summary:
formation energy (no corrections) = -1.02 eV per atom
E = -2.88 eV per atom

```
data_Rb2PbCl7
_chemical_formula_sum 'Rb8 Pb4 Cl28'
_space_group_name_H-M_alt 'C 1 2/c 1'
_space_group_IT_number 15
_space_group_name_Hall '-C 2yc'
_cell_length_a 17.928
_cell_length_b 7.370
_cell_length_c 12.357
_cell_angle_alpha 90.00
_cell_angle_beta 121.66
_cell_angle_gamma 90.00
loop_
_atom_site_label
_atom_site_type_symbol
_atom_site_fract_x
_atom_site_fract_y
_atom_site_fract_z
Rb1 Rb 0.158 0.180 0.071
Pb1 Pb 0.000 0.267 0.250
Cl1 Cl 0.000 0.086 0.750
Cl2 Cl 0.053 0.244 0.483
Cl3 Cl 0.120 0.477 0.287
Cl4 Cl 0.180 0.022 0.830
```

=====

[8]
Entry from the Alexandria database: an optimized crystal structure of LiTlI2 (GGA-PBE).

Summary:
ΔE to the lowest computed polymorph = 265 meV per atom
formation energy (no corrections) = -0.66 eV per atom
E = -2.50 eV per atom

```
data_LiTlI2
_chemical_formula_sum 'Li3 Tl3 I6'
_space_group_name_H-M_alt 'R -3 m'
_space_group_IT_number 166
_space_group_name_Hall '-R 3 2"'
_cell_length_a 4.5480
_cell_length_b 4.5480
_cell_length_c 28.6287
_cell_angle_alpha 90.00
_cell_angle_beta 90.00
_cell_angle_gamma 120.00
loop_
_atom_site_label
_atom_site_type_symbol
_atom_site_fract_x
_atom_site_fract_y
_atom_site_fract_z
Li1 Li 0.0000 0.0000 0.0000
Tl1 Tl 0.0000 0.0000 0.5000
I1 I 0.0000 0.0000 0.3883
```